! BaPm2Ga (PBE, optimized geometry); values from VASP
&SYSTEM
  ibrav = 0, nat = 4, ntyp = 3
/
ATOMIC_SPECIES
Pm 145.00 Pm.upf
Ga 69.72 Ga.upf
Ba 137.33 Ba.upf
ATOMIC_POSITIONS crystal
Pm 0.000 0.000 0.827
Pm 0.000 0.000 0.173
Ga 0.500 0.500 0.000
Ba 0.500 0.500 0.500
CELL_PARAMETERS angstrom
3.754 0.000 0.000
0.000 3.754 0.000
0.000 0.000 9.898
! uncorrected energy	-3.7766	eV/atom
! energy above the most stable polymorph in this dataset	0	meV per atom
! Fermi-level density of states	1.471	states/eV per atom
! space group	P4/mmm
! crystal system	tetragonal
! magnetic moment	0.00	μB/f.u.

---

! BaPmGa3 (PBE, optimized geometry); values from VASP
&SYSTEM
  ibrav = 0, nat = 10, ntyp = 3
/
ATOMIC_SPECIES
Ga 69.72 Ga.upf
Pm 145.00 Pm.upf
Ba 137.33 Ba.upf
ATOMIC_POSITIONS crystal
Ga 0.250 0.376 0.751
Ga 0.250 0.681 0.362
Ga 0.750 0.624 0.249
Ga 0.250 0.474 0.949
Ga 0.750 0.526 0.051
Ga 0.750 0.319 0.638
Pm 0.750 0.204 0.407
Pm 0.250 0.796 0.593
Ba 0.250 0.075 0.149
Ba 0.750 0.925 0.851
CELL_PARAMETERS angstrom
-0.208 2.939 3.127
0.905 -3.425 3.278
12.684 3.979 -2.897
! uncorrected energy	-3.6173	eV/atom
! Fermi-level density of states	1.027	states/eV per atom
! space group	Cmcm
! crystal system	orthorhombic
! magnetic moment	0.00	μB/f.u.

---

! Ba2PmGa4 (PBE, optimized geometry); values from VASP
&SYSTEM
  ibrav = 0, nat = 7, ntyp = 3
/
ATOMIC_SPECIES
Ba 137.33 Ba.upf
Ga 69.72 Ga.upf
Pm 145.00 Pm.upf
ATOMIC_POSITIONS crystal
Ba 0.824 0.824 0.648
Ba 0.176 0.176 0.352
Ga 0.944 0.444 0.889
Ga 0.385 0.385 0.771
Ga 0.056 0.556 0.111
Ga 0.615 0.615 0.229
Pm 0.500 0.000 0.000
CELL_PARAMETERS angstrom
-3.394 0.421 2.737
-0.122 -4.357 0.519
8.752 2.791 6.917
! uncorrected energy	-3.4291	eV/atom
! Fermi-level density of states	0.775	states/eV per atom
! space group	Immm
! crystal system	orthorhombic
! magnetic moment	0.00	μB/f.u.